1.
# HPd2RuPt

An optimized crystal structure of HPd2RuPt (PBE, Alexandria via LeMat-Bulk).

Properties
- calculated volume (A^3/atom) = 12.51
- E (eV/atom) = -5.688
- total moment (Bohr magnetons per cell) = 0.000
- density (kg/m3) = 13539

Structure (CIF):
```
data_HPd2RuPt
_cell_length_a 3.9899
_cell_length_b 3.9899
_cell_length_c 3.9294
_cell_angle_alpha 90.00
_cell_angle_beta 90.00
_cell_angle_gamma 90.00
_symmetry_space_group_name_H-M 'P 4/m m m'
_symmetry_Int_Tables_number 123
_symmetry_space_group_name_Hall '-P 4 2'
loop_
_atom_site_label
_atom_site_type_symbol
_atom_site_fract_x
_atom_site_fract_y
_atom_site_fract_z
H1 H 0.0000 0.0000 0.0000
Pd1 Pd 0.0000 0.5000 0.0000
Ru1 Ru 0.0000 0.0000 0.5000
Pt1 Pt 0.5000 0.5000 0.5000
```

2.
# TeHPdRuPt

An optimized crystal structure of TeHPdRuPt (PBE, Alexandria via LeMat-Bulk).

Properties
- calculated volume (A^3/atom) = 16.20
- E (eV/atom) = -5.260
- total moment (Bohr magnetons per cell) = 0.001
- polymorph energy (0 for the lowest one) (meV per atom) = 77
- density (kg/m3) = 10887

Structure (CIF):
```
data_TeHPdRuPt
_cell_length_a 4.5366
_cell_length_b 2.9097
_cell_length_c 6.2903
_cell_angle_alpha 90.00
_cell_angle_beta 102.66
_cell_angle_gamma 90.00
_symmetry_space_group_name_H-M 'P 1 m 1'
_symmetry_Int_Tables_number 6
loop_
_symmetry_equiv_pos_as_xyz
'x,y,z'
'x,-y,z'
loop_
_atom_site_label
_atom_site_type_symbol
_atom_site_fract_x
_atom_site_fract_y
_atom_site_fract_z
Te1 Te 0.0000 0.0000 0.0000
H1 H 0.0519 0.0000 0.5457
Pd1 Pd 0.4118 0.0000 0.7554
Ru1 Ru 0.1524 0.5000 0.3552
Pt1 Pt 0.6586 0.0000 0.4005
```

3.
# TeHPdRuPt

An optimized crystal structure of TeHPdRuPt (PBE, Alexandria via LeMat-Bulk).

Properties
- calculated volume (A^3/atom) = 14.51
- E (eV/atom) = -5.333
- total moment (Bohr magnetons per cell) = 0.000
- polymorph energy (0 for the lowest one) (meV per atom) = 4
- density (kg/m3) = 12158

Structure (CIF):
```
data_TeHPdRuPt
_cell_length_a 4.5607
_cell_length_b 3.5265
_cell_length_c 4.6294
_cell_angle_alpha 90.00
_cell_angle_beta 102.99
_cell_angle_gamma 90.00
_symmetry_space_group_name_H-M 'P 1 m 1'
_symmetry_Int_Tables_number 6
loop_
_symmetry_equiv_pos_as_xyz
'x,y,z'
'x,-y,z'
loop_
_atom_site_label
_atom_site_type_symbol
_atom_site_fract_x
_atom_site_fract_y
_atom_site_fract_z
Te1 Te 0.0000 0.0000 0.0000
H1 H 0.4502 0.5000 0.5703
Pd1 Pd 0.4547 0.5000 0.9883
Ru1 Ru 0.0403 0.5000 0.4065
Pt1 Pt 0.5815 0.0000 0.5099
```

4.
# TeHPdRuPt

An optimized crystal structure of TeHPdRuPt (PBE, Alexandria via LeMat-Bulk).

Properties
- calculated volume (A^3/atom) = 15.15
- E (eV/atom) = -5.337
- total moment (Bohr magnetons per cell) = 0.000
- polymorph energy (0 for the lowest one) (meV per atom) = 0
- density (kg/m3) = 11643

Structure (CIF):
```
data_TeHPdRuPt
_cell_length_a 15.6155
_cell_length_b 3.1034
_cell_length_c 3.1863
_cell_angle_alpha 90.00
_cell_angle_beta 101.11
_cell_angle_gamma 90.00
_symmetry_space_group_name_H-M 'C 1 m 1'
_symmetry_Int_Tables_number 8
loop_
_symmetry_equiv_pos_as_xyz
'x,y,z'
'x,-y,z'
'x+1/2,y+1/2,z'
'x+1/2,-y+1/2,z'
loop_
_atom_site_label
_atom_site_type_symbol
_atom_site_fract_x
_atom_site_fract_y
_atom_site_fract_z
Te1 Te 0.0000 0.0000 0.0000
H1 H 0.1796 0.5000 0.5273
Pd1 Pd 0.1720 0.0000 0.1901
Ru1 Ru 0.4036 0.0000 0.4040
Pt1 Pt 0.2881 0.5000 0.8055
```

5.
# TeHPdRuPt

An optimized crystal structure of TeHPdRuPt (PBE, Alexandria via LeMat-Bulk).

Properties
- calculated volume (A^3/atom) = 15.15
- E (eV/atom) = -5.271
- total moment (Bohr magnetons per cell) = 0.004
- polymorph energy (0 for the lowest one) (meV per atom) = 66
- density (kg/m3) = 11648

Structure (CIF):
```
data_TeHPdRuPt
_cell_length_a 3.1766
_cell_length_b 4.4035
_cell_length_c 5.6868
_cell_angle_alpha 91.50
_cell_angle_beta 100.30
_cell_angle_gamma 104.04
_symmetry_space_group_name_H-M 'P 1'
_symmetry_Int_Tables_number 1
loop_
_symmetry_equiv_pos_as_xyz
'x,y,z'
loop_
_atom_site_label
_atom_site_type_symbol
_atom_site_fract_x
_atom_site_fract_y
_atom_site_fract_z
Te1 Te 0.0000 0.0000 0.0000
H1 H 0.2869 0.5185 0.3753
Pd1 Pd 0.6078 0.4244 0.7887
Ru1 Ru 0.6903 0.2729 0.3200
Pt1 Pt 0.1512 0.8445 0.5280
```

6.
# TeHPdRuPt

An optimized crystal structure of TeHPdRuPt (PBE, Alexandria via LeMat-Bulk).

Properties
- calculated volume (A^3/atom) = 14.88
- E (eV/atom) = -5.295
- total moment (Bohr magnetons per cell) = 0.000
- polymorph energy (0 for the lowest one) (meV per atom) = 42
- density (kg/m3) = 11858

Structure (CIF):
```
data_TeHPdRuPt
_cell_length_a 9.1141
_cell_length_b 3.7373
_cell_length_c 4.4286
_cell_angle_alpha 90.00
_cell_angle_beta 99.52
_cell_angle_gamma 90.00
_symmetry_space_group_name_H-M 'C 1 m 1'
_symmetry_Int_Tables_number 8
loop_
_symmetry_equiv_pos_as_xyz
'x,y,z'
'x,-y,z'
'x+1/2,y+1/2,z'
'x+1/2,-y+1/2,z'
loop_
_atom_site_label
_atom_site_type_symbol
_atom_site_fract_x
_atom_site_fract_y
_atom_site_fract_z
Te1 Te 0.0000 0.0000 0.0000
H1 H 0.2908 0.0000 0.3316
Pd1 Pd 0.0641 0.5000 0.6042
Ru1 Ru 0.2885 0.0000 0.9177
Pt1 Pt 0.3268 0.5000 0.4236
```

7.
# TeHPdRuPt

An optimized crystal structure of TeHPdRuPt (PBE, Alexandria via LeMat-Bulk).

Properties
- calculated volume (A^3/atom) = 15.51
- E (eV/atom) = -5.274
- total moment (Bohr magnetons per cell) = 0.000
- polymorph energy (0 for the lowest one) (meV per atom) = 63
- density (kg/m3) = 11377

Structure (CIF):
```
data_TeHPdRuPt
_cell_length_a 4.7966
_cell_length_b 2.9923
_cell_length_c 5.5105
_cell_angle_alpha 90.00
_cell_angle_beta 101.40
_cell_angle_gamma 90.00
_symmetry_space_group_name_H-M 'P 1 m 1'
_symmetry_Int_Tables_number 6
loop_
_symmetry_equiv_pos_as_xyz
'x,y,z'
'x,-y,z'
loop_
_atom_site_label
_atom_site_type_symbol
_atom_site_fract_x
_atom_site_fract_y
_atom_site_fract_z
Te1 Te 0.0000 0.0000 0.0000
H1 H 0.8339 0.5000 0.4935
Pd1 Pd 0.4503 0.0000 0.8002
Ru1 Ru 0.1633 0.5000 0.3841
Pt1 Pt 0.6260 0.0000 0.3526
```

8.
# TeHPdRuPt

An optimized crystal structure of TeHPdRuPt (PBE, Alexandria via LeMat-Bulk).

Properties
- calculated volume (A^3/atom) = 15.67
- E (eV/atom) = -5.315
- total moment (Bohr magnetons per cell) = 0.000
- polymorph energy (0 for the lowest one) (meV per atom) = 22
- density (kg/m3) = 11257

Structure (CIF):
```
data_TeHPdRuPt
_cell_length_a 4.0328
_cell_length_b 4.0461
_cell_length_c 5.5059
_cell_angle_alpha 74.45
_cell_angle_beta 70.89
_cell_angle_gamma 69.59
_symmetry_space_group_name_H-M 'P 1'
_symmetry_Int_Tables_number 1
loop_
_symmetry_equiv_pos_as_xyz
'x,y,z'
loop_
_atom_site_label
_atom_site_type_symbol
_atom_site_fract_x
_atom_site_fract_y
_atom_site_fract_z
Te1 Te 0.0000 0.0000 0.0000
H1 H 0.2313 0.5024 0.4776
Pd1 Pd 0.6493 0.7017 0.6666
Ru1 Ru 0.5851 0.5896 0.1953
Pt1 Pt 0.1049 0.1379 0.4528
```